Material: FeOsRh2
Method: DFT, PBEsol
State: optimized geometry

Results
**ΔE_f**: 0.037 eV per atom
**SG**: P4/mmm

a b c (Å): 2.666 2.666 7.400
angles (deg): 90.00 90.00 90.00
Positions (direct):
Fe  0.000  0.000  0.000
Os  0.000  0.000  0.500
Rh  0.500  0.500  0.246
Rh  0.500  0.500  0.754

---

Material: Co3HgPd
Method: DFT, PBEsol
State: optimized geometry

Results
**ΔE_f**: 1.397 eV per atom
**SG**: Pm-3m

a b c (Å): 4.491 4.491 4.491
angles (deg): 90.00 90.00 90.00
Positions (direct):
Co  0.000  0.000  0.500
Co  0.000  0.500  0.000
Co  0.500  0.000  0.000
Hg  0.500  0.500  0.500
Pd  0.000  0.000  0.000

---

Material: CrSiOs
Method: DFT, PBEsol
State: optimized geometry

Results
**ΔE_f (raw)**: -280 meV per atom
**SG**: I4mm

a b c (Å): 4.958 4.958 4.958
angles (deg): 146.83 146.83 47.62
Positions (direct):
Cr  0.000  0.000  0.000
Si  0.347  0.347  0.000
Os  0.679  0.679  0.000

---

Material: Ti12Cu9Bi2O36
Method: DFT, PBEsol
State: optimized geometry

Results
**ΔE_f (raw)**: -2117 meV per atom
**SG**: P-3

a b c (Å): 10.426 10.426 6.413
angles (deg): 90.00 90.00 120.00
Positions (direct):
Ti  0.000  0.000  0.000
Ti  0.000  0.500  0.000
Ti  0.158  0.841  0.663
Ti  0.159  0.317  0.663
Ti  0.317  0.158  0.337
Ti  0.333  0.667  0.326
Ti  0.500  0.000  0.000
Ti  0.500  0.500  0.000
Ti  0.667  0.333  0.674
Ti  0.683  0.842  0.663
Ti  0.841  0.683  0.337
Ti  0.842  0.159  0.337
Cu  0.000  0.500  0.500
Cu  0.168  0.336  0.162
Cu  0.168  0.832  0.162
Cu  0.336  0.168  0.838
Cu  0.500  0.000  0.500
Cu  0.500  0.500  0.500
Cu  0.664  0.832  0.162
Cu  0.832  0.168  0.838
Cu  0.832  0.664  0.838
Bi  0.333  0.667  0.805
Bi  0.667  0.333  0.195
O  0.015  0.851  0.830
O  0.046  0.777  0.410
O  0.072  0.625  0.748
O  0.114  0.406  0.914
O  0.149  0.164  0.830
O  0.164  0.015  0.170
O  0.173  0.650  0.153
O  0.191  0.508  0.514
O  0.223  0.268  0.410
O  0.268  0.046  0.590
O  0.292  0.886  0.914
O  0.317  0.809  0.514
O  0.350  0.523  0.153
O  0.375  0.447  0.748
O  0.406  0.292  0.086
O  0.447  0.072  0.252
O  0.477  0.827  0.153
O  0.492  0.683  0.514
O  0.508  0.317  0.486
O  0.523  0.173  0.847
O  0.553  0.928  0.748
O  0.594  0.708  0.914
O  0.625  0.553  0.252
O  0.650  0.477  0.847
O  0.683  0.191  0.486
O  0.708  0.114  0.086
O  0.732  0.954  0.410
O  0.777  0.732  0.590
O  0.809  0.492  0.486
O  0.827  0.350  0.847
O  0.836  0.985  0.830
O  0.851  0.836  0.170
O  0.886  0.594  0.086
O  0.928  0.375  0.252
O  0.954  0.223  0.590
O  0.985  0.149  0.170

---

Material: ScCoAg2
Method: DFT, PBEsol
State: optimized geometry

Results
**ΔE_f**: -0.040 eV per atom
**SG**: P4mm

a b c (Å): 3.272 3.272 5.899
angles (deg): 90.00 90.00 90.00
Positions (direct):
Sc  0.000  0.000  0.000
Co  0.500  0.500  0.784
Ag  0.000  0.000  0.539
Ag  0.500  0.500  0.286

---

Material: Ta2MnW
Method: DFT, PBEsol
State: optimized geometry

Results
**ΔE_f**: -0.010 eV per atom
**SG**: P4mm

a b c (Å): 3.113 3.113 6.325
angles (deg): 90.00 90.00 90.00
Positions (direct):
Ta  0.000  0.000  0.000
Ta  0.500  0.500  0.273
Mn  0.500  0.500  0.761
W  0.000  0.000  0.533

---

Material: ZnCoRu2
Method: DFT, PBEsol
State: optimized geometry

Results
**ΔE_f**: 0.164 eV per atom
**SG**: P4/mmm

a b c (Å): 2.606 2.606 7.345
angles (deg): 90.00 90.00 90.00
Positions (direct):
Zn  0.000  0.000  0.000
Co  0.000  0.000  0.500
Ru  0.500  0.500  0.267
Ru  0.500  0.500  0.733

---

Material: LaMo2PtSe
Method: DFT, PBEsol
State: optimized geometry

Results
**ΔE_f (raw)**: 718 meV per atom
**SG**: P4/mmm

a b c (Å): 4.541 4.541 5.459
angles (deg): 90.00 90.00 90.00
Positions (direct):
La  0.000  0.000  0.000
Mo  0.000  0.500  0.500
Mo  0.500  0.000  0.500
Pt  0.500  0.500  0.000
Se  0.000  0.000  0.500

---

Number 1: total magnetization 3.05 Bohr magnetons per cell. Number 2: total magnetization 6.34 Bohr magnetons per cell. Number 3: total magnetization 0.00 Bohr magnetons per cell. Number 4: total magnetization 8.72 Bohr magnetons per cell. Number 5: total magnetization 0.49 Bohr magnetons per cell. Number 6: total magnetization 0.00 Bohr magnetons per cell. Number 7: total magnetization 0.35 Bohr magnetons per cell. Number 8: total magnetization 0.00 Bohr magnetons per cell.